Here is crystalline ZnIn2Ge at its relaxed geometry from the Alexandria database. Energies are from PBE.

Geometry as POSCAR:
```
ZnIn2Ge
1.0
4.430 0.000 0.000
0.000 4.467 0.000
0.000 0.000 4.467
Zn In Ge
1 2 1
direct
0.500 0.500 0.500
0.000 0.000 0.500
0.000 0.500 0.000
0.500 0.000 0.000
```

Polymorph energy (0 for the lowest one)   2.2 kJ/mol of atoms
SG   P4/mmm, No. 123
Energy relative to the elements   0.177 eV/atom
Size of the total moment   0.0 Bohr magnetons per cell